(1)
The following is a PBE calculation of an optimized crystal structure of FeAs2Pt, from Alexandria via LeMat-Bulk.

Properties
energy of formation: 0.05 eV per atom
polymorph energy (0 for the lowest one): 227.9 meV/atom
total magnetic moment: 2.257 μB/cell
space-group type: R3m, No. 160
crystal system: trigonal

Cell and atoms, written as extended XYZ:
```
4
Lattice="1.644 0.949 7.340 -1.644 0.949 7.340 0.000 -1.898 7.340" Properties=species:S:1:pos:R:3 pbc="T T T"
Fe 0.000 0.000 0.000
As 0.000 0.000 5.873
As 0.000 0.000 10.873
Pt 0.000 0.000 16.632
```

(2)
The following is a PBE calculation of an optimized crystal structure of CdCo2P, from Alexandria via LeMat-Bulk.

Properties
energy of formation: 0.21 eV per atom
polymorph energy (0 for the lowest one): 344.3 meV/atom
total magnetic moment: 2.733 μB/cell
space-group type: R3m, No. 160
crystal system: trigonal

Cell and atoms, written as extended XYZ:
```
4
Lattice="1.414 0.817 8.482 -1.414 0.817 8.482 0.000 -1.633 8.482" Properties=species:S:1:pos:R:3 pbc="T T T"
Cd 0.000 0.000 0.000
Co 0.000 0.000 12.689
Co 0.000 0.000 19.263
P 0.000 0.000 5.700
```

(3)
The following is a PBE calculation of an optimized crystal structure of Co2AgAs, from Alexandria via LeMat-Bulk.

Properties
energy of formation: 0.32 eV per atom
total magnetic moment: 2.638 μB/cell
space-group type: Imm2, No. 44
crystal system: orthorhombic

Cell and atoms, written as extended XYZ:
```
4
Lattice="-1.487 2.130 4.428 1.487 -2.130 4.428 1.487 2.130 -4.428" Properties=species:S:1:pos:R:3 pbc="T T T"
Co 0.000 0.000 0.000
Co 0.000 2.130 2.242
Ag 1.487 0.000 2.475
As 0.000 0.000 4.824
```